[1]
The following is a GGA-PBE calculation of Al2Pb2S after structural relaxation, from Alexandria.

Results
E_form (uncorrected) ... 0.4 eV per formula unit
Excess energy over the best structure of this formula in the dataset ... 0 meV/atom
Magnetization ... 0.0 Bohr magnetons per cell

Structure (CIF):
```
data_Al2Pb2S
_space_group_name_H-M_alt 'P 4/m b m'
_space_group_IT_number 127
_space_group_name_Hall '-P 4 2ab'
_cell_length_a 6.4911
_cell_length_b 6.4911
_cell_length_c 5.6363
_cell_angle_alpha 90.00
_cell_angle_beta 90.00
_cell_angle_gamma 90.00
loop_
_atom_site_label
_atom_site_fract_x
_atom_site_fract_y
_atom_site_fract_z
Al1 0.1474 0.3526 0.0000
Pb1 0.1954 0.6954 0.5000
S1 0.0000 0.0000 0.0000
```

***

[2]
The following is a GGA-PBE calculation of Al4PbS8 after structural relaxation, from Alexandria.

Results
E_form (uncorrected) ... -10.3 eV per formula unit
Magnetization ... 0.0 Bohr magnetons per cell

Structure (CIF):
```
data_Al4PbS8
_space_group_name_H-M_alt 'F -4 3 m'
_space_group_IT_number 216
_space_group_name_Hall 'F -4 2 3'
_cell_length_a 10.2436
_cell_length_b 10.2436
_cell_length_c 10.2436
_cell_angle_alpha 90.00
_cell_angle_beta 90.00
_cell_angle_gamma 90.00
loop_
_atom_site_label
_atom_site_fract_x
_atom_site_fract_y
_atom_site_fract_z
Al1 0.1101 0.1101 0.1101
Pb1 0.0000 0.0000 0.5000
S1 0.1193 0.1193 0.8807
S2 0.1439 0.1439 0.3561
```

***

[3]
The following is a GGA-PBE calculation of AlPbS after structural relaxation, from Alexandria.

Results
E_form (uncorrected) ... -0.6 eV per formula unit
Magnetization ... 0.0 Bohr magnetons per cell

Structure (CIF):
```
data_AlPbS
_space_group_name_H-M_alt 'P -3 m 1'
_space_group_IT_number 164
_space_group_name_Hall '-P 3 2"'
_cell_length_a 3.5180
_cell_length_b 3.5180
_cell_length_c 26.6337
_cell_angle_alpha 90.00
_cell_angle_beta 90.00
_cell_angle_gamma 120.00
loop_
_atom_site_label
_atom_site_fract_x
_atom_site_fract_y
_atom_site_fract_z
Al1 0.3333 0.6667 0.1142
Al2 0.3333 0.6667 0.6469
Pb1 0.3333 0.6667 0.2603
Pb2 0.3333 0.6667 0.4394
S1 0.3333 0.6667 0.8211
S2 0.3333 0.6667 0.9320
```

***

[4]
The following is a GGA-PBE calculation of AlPb4S6 after structural relaxation, from Alexandria.

Results
E_form (uncorrected) ... -6.0 eV per formula unit
Magnetization ... 0.0 Bohr magnetons per cell

Structure (CIF):
```
data_AlPb4S6
_space_group_name_H-M_alt 'C 1 c 1'
_space_group_IT_number 9
_cell_length_a 14.7655
_cell_length_b 7.5709
_cell_length_c 13.1285
_cell_angle_alpha 90.00
_cell_angle_beta 118.23
_cell_angle_gamma 90.00
loop_
_space_group_symop_operation_xyz
'x,y,z'
'x,-y,z+1/2'
'x+1/2,y+1/2,z'
'x+1/2,-y+1/2,z+1/2'
loop_
_atom_site_label
_atom_site_fract_x
_atom_site_fract_y
_atom_site_fract_z
Al1 0.0000 0.2238 0.0000
Pb1 0.0310 0.3200 0.5952
Pb2 0.2218 0.4730 0.9254
Pb3 0.2684 0.1018 0.2320
Pb4 0.4230 0.3338 0.7436
S1 0.0215 0.4596 0.9050
S2 0.0514 0.0363 0.4627
S3 0.0890 0.2705 0.1927
S4 0.2349 0.2615 0.7697
S5 0.3341 0.2200 0.4550
S6 0.3626 0.3451 0.1331
```

***

[5]
The following is a GGA-PBE calculation of AlSbPbS4 after structural relaxation, from Alexandria.

Results
E_form (uncorrected) ... -3.9 eV per formula unit
Magnetization ... 0.0 Bohr magnetons per cell

Structure (CIF):
```
data_AlSbPbS4
_space_group_name_H-M_alt 'P 1 21/m 1'
_space_group_IT_number 11
_cell_length_a 6.7904
_cell_length_b 7.0328
_cell_length_c 8.0336
_cell_angle_alpha 90.00
_cell_angle_beta 107.76
_cell_angle_gamma 90.00
loop_
_space_group_symop_operation_xyz
'x,y,z'
'-x,-y,-z'
'-x,y+1/2,-z'
'x,-y+1/2,z'
loop_
_atom_site_label
_atom_site_fract_x
_atom_site_fract_y
_atom_site_fract_z
Al1 0.2490 0.2500 0.3110
Sb1 0.2429 0.7500 0.5333
Pb1 0.2200 0.7500 0.0547
S1 0.0309 0.0001 0.2554
S2 0.4620 0.2500 0.5906
S3 0.4788 0.2500 0.1618
```

***

[6]
The following is a GGA-PBE calculation of Al2SbPbS6 after structural relaxation, from Alexandria.

Results
E_form (uncorrected) ... -6.0 eV per formula unit
Magnetization ... 0.0 Bohr magnetons per cell

Structure (CIF):
```
data_Al2SbPbS6
_space_group_name_H-M_alt 'C 1 2/c 1'
_space_group_IT_number 15
_cell_length_a 12.6181
_cell_length_b 10.7369
_cell_length_c 7.1621
_cell_angle_alpha 90.00
_cell_angle_beta 106.11
_cell_angle_gamma 90.00
loop_
_space_group_symop_operation_xyz
'x,y,z'
'-x,-y,-z'
'-x,y,-z+1/2'
'x,-y,z+1/2'
'x+1/2,y+1/2,z'
'-x+1/2,-y+1/2,-z'
'-x+1/2,y+1/2,-z+1/2'
'x+1/2,-y+1/2,z+1/2'
loop_
_atom_site_label
_atom_site_fract_x
_atom_site_fract_y
_atom_site_fract_z
Al1 0.2024 0.0786 0.2219
Sb1 0.0000 0.2309 0.7500
Pb1 0.0000 0.3647 0.2500
S1 0.1073 0.4117 0.6516
S2 0.1339 0.0617 0.4821
S3 0.1620 0.2730 0.0931
```

***

[7]
The following is a GGA-PBE calculation of Al2SiPbS6 after structural relaxation, from Alexandria.

Results
E_form (uncorrected) ... -8.1 eV per formula unit
Magnetization ... 0.0 Bohr magnetons per cell

Structure (CIF):
```
data_Al2SiPbS6
_space_group_name_H-M_alt 'C 1 2/c 1'
_space_group_IT_number 15
_cell_length_a 12.8662
_cell_length_b 13.3515
_cell_length_c 6.7961
_cell_angle_alpha 90.00
_cell_angle_beta 117.37
_cell_angle_gamma 90.00
loop_
_space_group_symop_operation_xyz
'x,y,z'
'-x,-y,-z'
'-x,y,-z+1/2'
'x,-y,z+1/2'
'x+1/2,y+1/2,z'
'-x+1/2,-y+1/2,-z'
'-x+1/2,y+1/2,-z+1/2'
'x+1/2,-y+1/2,z+1/2'
loop_
_atom_site_label
_atom_site_fract_x
_atom_site_fract_y
_atom_site_fract_z
Al1 0.2327 0.0894 0.3735
Si1 0.0000 0.3032 0.2500
Pb1 0.0000 0.1235 0.7500
S1 0.0811 0.3872 0.5493
S2 0.1318 0.2290 0.1893
S3 0.1580 0.0295 0.5932
```

***

[8]
The following is a GGA-PBE calculation of SmAlPbS4 after structural relaxation, from Alexandria.

Results
E_form (uncorrected) ... -8.6 eV per formula unit
Magnetization ... 0.0 Bohr magnetons per cell

Structure (CIF):
```
data_SmAlPbS4
_space_group_name_H-M_alt 'P 1 21/m 1'
_space_group_IT_number 11
_cell_length_a 6.6119
_cell_length_b 6.6613
_cell_length_c 8.0396
_cell_angle_alpha 90.00
_cell_angle_beta 107.03
_cell_angle_gamma 90.00
loop_
_space_group_symop_operation_xyz
'x,y,z'
'-x,-y,-z'
'-x,y+1/2,-z'
'x,-y+1/2,z'
loop_
_atom_site_label
_atom_site_fract_x
_atom_site_fract_y
_atom_site_fract_z
Sm1 0.2234 0.2500 0.0566
Al1 0.2378 0.7500 0.8127
Pb1 0.2571 0.2500 0.5701
S1 0.0048 0.0045 0.7660
S2 0.4377 0.7500 0.0911
S3 0.4382 0.7500 0.6336
```

***

Question: The lowest E_form (uncorrected) belongs to which entry?
Answer: Al4PbS8